No. 1
An optimized crystal structure of LaFeAg2. Source: the Alexandria database, functional PBE.

Output
formation energy from the elements = 0.15 eV/atom
V = 80.1 Å³/cell
final energy = -18.49 eV per cell
DOS at the Fermi energy = 0.9705 states/eV per atom
magnetic moment = 1.47 μB/f.u.

Cell lengths 5.888, 5.888, 4.608 Å; angles 66.94, 66.94, 33.33 degrees
Atoms (fractional coordinates):
Fe 0.250 0.250 0.250
La 0.750 0.750 0.750
Ag 0.969 0.969 0.031
Ag 0.531 0.531 0.469


No. 2
An optimized crystal structure of Rb2CaV. Source: the Alexandria database, functional PBE.

Output
formation energy from the elements = 1.00 eV/atom
V = 483.6 Å³/cell
final energy = -18.09 eV per cell
DOS at the Fermi energy = 1.6307 states/eV per atom
magnetic moment = 5.67 μB/f.u.

Cell lengths 12.487, 12.487, 9.358 Å; angles 48.15, 48.15, 90.00 degrees
Atoms (fractional coordinates):
Ca 0.250 0.750 0.500
Rb 0.008 0.625 0.250
Rb 0.875 0.992 0.750
V 0.750 0.250 0.500
Rb 0.375 0.258 0.750
Rb 0.742 0.125 0.250
Ca 0.500 0.500 0.000
V 0.000 0.000 0.000


No. 3
An optimized crystal structure of Zr2BeAu. Source: the Alexandria database, functional PBE.

Output
formation energy from the elements = -0.22 eV/atom
V = 72.8 Å³/cell
final energy = -25.00 eV per cell
DOS at the Fermi energy = 0.9245 states/eV per atom
magnetic moment = 0.00 μB/f.u.

Cell lengths 3.704, 3.061, 7.113 Å; angles 64.48, 90.00, 90.00 degrees
Atoms (fractional coordinates):
Au 0.500 0.250 0.250
Zr 0.000 0.479 0.520
Be 0.500 0.750 0.750
Zr 0.000 0.021 0.980


Copy entry 3 word for word.
An optimized crystal structure of Zr2BeAu. Source: the Alexandria database, functional PBE.

Output
formation energy from the elements = -0.22 eV/atom
V = 72.8 Å³/cell
final energy = -25.00 eV per cell
DOS at the Fermi energy = 0.9245 states/eV per atom
magnetic moment = 0.00 μB/f.u.

Cell lengths 3.704, 3.061, 7.113 Å; angles 64.48, 90.00, 90.00 degrees
Atoms (fractional coordinates):
Au 0.500 0.250 0.250
Zr 0.000 0.479 0.520
Be 0.500 0.750 0.750
Zr 0.000 0.021 0.980


Which formula does entry 2 have?
Rb2CaV


DOS at the Fermi energy of number 3 (Zr2BeAu)?
0.9245 states/eV per atom